A geometry-optimized Ga2NiH structure, computed with PBE. Values from VASP.

- N(E_F) (states/eV/f.u.) = 1.5
- calculated total energy (eV/atom) = -3.4921
- distance to the lowest polymorph of the same formula (meV/atom) = 59

The structure in Quantum ESPRESSO input format:
```
&SYSTEM
  ibrav = 0, nat = 16, ntyp = 3
/
ATOMIC_SPECIES
Ga 69.72 Ga.upf
Ni 58.69 Ni.upf
H 1.01 H.upf
ATOMIC_POSITIONS crystal
Ga 0.174 0.250 0.125
Ga 0.250 0.674 0.375
Ga 0.250 0.826 0.875
Ga 0.326 0.250 0.625
Ga 0.674 0.750 0.625
Ga 0.750 0.174 0.875
Ga 0.750 0.326 0.375
Ga 0.826 0.750 0.125
Ni 0.000 0.000 0.500
Ni 0.000 0.500 0.750
Ni 0.500 0.000 0.250
Ni 0.500 0.500 0.000
H 0.000 0.000 0.000
H 0.000 0.500 0.250
H 0.500 0.000 0.750
H 0.500 0.500 0.500
CELL_PARAMETERS angstrom
4.568 0.000 0.000
0.000 4.568 0.000
0.000 0.000 11.309
```

A geometry-optimized Rb2CdP2O6 structure, computed with PBE. Values from VASP.

- N(E_F) (states/eV/f.u.) = 0.0
- calculated total energy (eV/atom) = -5.9298
- E_form (uncorrected) (eV/atom) = -1.983

The structure in Quantum ESPRESSO input format:
```
&SYSTEM
  ibrav = 0, nat = 11, ntyp = 4
/
ATOMIC_SPECIES
Rb 85.47 Rb.upf
Cd 112.41 Cd.upf
P 30.97 P.upf
O 16.00 O.upf
ATOMIC_POSITIONS crystal
Rb 0.226 0.226 0.226
Rb 0.774 0.774 0.774
Cd 0.000 0.000 0.000
P 0.436 0.436 0.436
P 0.564 0.564 0.564
O 0.266 0.266 0.704
O 0.266 0.704 0.266
O 0.296 0.734 0.734
O 0.704 0.266 0.266
O 0.734 0.296 0.734
O 0.734 0.734 0.296
CELL_PARAMETERS angstrom
2.945 1.700 5.780
-2.945 1.700 5.780
0.000 -3.401 5.780
```

A geometry-optimized LaY4Er2Sc structure, computed with PBE. Values from VASP.

- energy of formation (eV per atom) = 0.43
- N(E_F) (states/eV/f.u.) = 17.9
- calculated total energy (eV/atom) = -5.3500

The structure in Quantum ESPRESSO input format:
```
&SYSTEM
  ibrav = 0, nat = 16, ntyp = 4
/
ATOMIC_SPECIES
La 138.91 La.upf
Y 88.91 Y.upf
Er 167.26 Er.upf
Sc 44.96 Sc.upf
ATOMIC_POSITIONS crystal
La 0.000 0.500 0.000
La 0.500 0.000 0.500
Y 0.239 0.241 0.487
Y 0.241 0.239 0.987
Y 0.242 0.758 0.502
Y 0.242 0.758 0.998
Y 0.758 0.242 0.002
Y 0.758 0.242 0.498
Y 0.759 0.761 0.013
Y 0.761 0.759 0.513
Er 0.000 0.500 0.500
Er 0.500 0.000 0.000
Er 0.500 0.500 0.000
Er 0.500 0.500 0.500
Sc 0.000 0.000 0.000
Sc 0.000 0.000 0.500
CELL_PARAMETERS angstrom
6.746 -6.543 0.000
6.746 6.543 0.000
-3.387 0.000 5.855
```

A geometry-optimized RbBa3Al structure, computed with PBE. Values from VASP.

- energy of formation (eV per atom) = 0.09
- N(E_F) (states/eV/f.u.) = 6.8
- calculated total energy (eV/atom) = -2.0030
- distance to the lowest polymorph of the same formula (meV/atom) = 0

The structure in Quantum ESPRESSO input format:
```
&SYSTEM
  ibrav = 0, nat = 5, ntyp = 3
/
ATOMIC_SPECIES
Rb 85.47 Rb.upf
Ba 137.33 Ba.upf
Al 26.98 Al.upf
ATOMIC_POSITIONS crystal
Rb 0.000 0.000 0.000
Ba 0.000 0.500 0.500
Ba 0.500 0.000 0.500
Ba 0.500 0.500 0.000
Al 0.500 0.500 0.500
CELL_PARAMETERS angstrom
6.838 0.000 0.000
0.000 6.838 0.000
0.000 0.000 6.838
```

A geometry-optimized LiP2 structure, computed with PBE. Values from VASP.

- energy of formation (eV per atom) = -0.11
- N(E_F) (states/eV/f.u.) = 0.8
- calculated total energy (eV/atom) = -4.3569
- distance to the lowest polymorph of the same formula (meV/atom) = 226

The structure in Quantum ESPRESSO input format:
```
&SYSTEM
  ibrav = 0, nat = 6, ntyp = 2
/
ATOMIC_SPECIES
Li 6.94 Li.upf
P 30.97 P.upf
ATOMIC_POSITIONS crystal
Li 0.000 0.000 0.000
Li 0.500 0.500 0.500
P 0.000 0.000 0.392
P 0.000 0.000 0.608
P 0.500 0.500 0.108
P 0.500 0.500 0.892
CELL_PARAMETERS angstrom
2.540 0.000 0.000
0.000 4.134 0.000
0.000 0.000 10.077
```

A geometry-optimized KRbV2I structure, computed with PBE. Values from VASP.

- N(E_F) (states/eV/f.u.) = 11.1
- calculated total energy (eV/atom) = -3.0011
- E_form (uncorrected) (eV/atom) = 1.369

The structure in Quantum ESPRESSO input format:
```
&SYSTEM
  ibrav = 0, nat = 5, ntyp = 4
/
ATOMIC_SPECIES
K 39.10 K.upf
Rb 85.47 Rb.upf
V 50.94 V.upf
I 126.90 I.upf
ATOMIC_POSITIONS crystal
K 0.000 0.000 0.000
Rb 0.500 0.500 0.500
V 0.000 0.500 0.500
V 0.500 0.000 0.500
I 0.500 0.500 0.000
CELL_PARAMETERS angstrom
5.984 0.000 0.000
0.000 5.984 0.000
0.000 0.000 6.846
```

Total magnetic moment across the listed records, respectively: 0.0; 0.0; 4.3; 0.0; 0.0; 9.2 μB/cell.